Entry 1:
Material: TcGeAs3
Method: DFT, PBE
State: relaxed

a b c (Å): 4.8227 4.8227 4.8227
angles (deg): 90.00 90.00 90.00
Space group Pm-3m (No. 221)
Symmetry-distinct sites (fractional):
Tc (0.0000, 0.0000, 0.0000) x1
Ge (0.5000, 0.5000, 0.5000) x1
As (0.0000, 0.0000, 0.5000) x3

The density of states at the Fermi level is 0.783 states/eV per atom. The formation energy comes out at 0.581 eV/atom.

---

Entry 2:
Material: Ca6Zn2O
Method: DFT, PBE
State: relaxed

a b c (Å): 6.8536 7.4028 11.8487
angles (deg): 90.00 123.53 90.00
Space group P2_1/c (No. 14)
Symmetry-distinct sites (fractional):
Ca (0.1393, 0.0196, 0.2381) x4
Ca (0.2199, 0.7080, 0.0474) x4
Ca (0.3450, 0.1805, 0.0473) x4
Zn (0.2830, 0.0849, 0.7505) x4
O (0.0000, 0.0000, 0.0000) x2

The density of states at the Fermi level is 0.834 states/eV per atom. As for the formation energy without anion corrections: -0.71 eV/atom.